#1
This record from the Alexandria database describes an optimized crystal structure of Ca2Zr2Ga. The functional is PBE-GGA.

DOS(E_F) (states/eV/atom): 0.960
Spin magnetization (μB/f.u.): 0.00
Space-group type: P4/mbm

Unit cell a=7.592 b=7.592 c=4.803 alpha=90.00 beta=90.00 gamma=90.00
Sites, in units of the cell vectors:
Ga 0.500 0.500 0.000
Ga 0.000 0.000 0.000
Zr 0.141 0.641 0.500
Zr 0.359 0.141 0.500
Zr 0.859 0.359 0.500
Zr 0.641 0.859 0.500
Ca 0.346 0.846 0.000
Ca 0.654 0.154 0.000
Ca 0.154 0.346 0.000
Ca 0.846 0.654 0.000

#2
This record from the Alexandria database describes an optimized crystal structure of Ca2Zr2Ga. The functional is PBE-GGA.

DOS(E_F) (states/eV/atom): 0.935
Spin magnetization (μB/f.u.): 0.00
Space-group type: I4/mmm

Unit cell a=3.955 b=3.955 c=9.898 alpha=78.48 beta=78.48 gamma=90.00
Sites, in units of the cell vectors:
Ca 0.590 0.590 0.819
Ca 0.410 0.410 0.181
Ga 0.000 0.000 0.000
Zr 0.250 0.750 0.500
Zr 0.750 0.250 0.500

The most stable of them is #2.